# 1
Entry from the Alexandria database: Co2SbAs after structural relaxation (PBE-GGA).

POSCAR file:
```
Co2SbAs
1.0
6.054 -0.592 -0.353
5.198 3.159 -0.353
5.198 1.186 2.950
Sb Co As
1 2 1
direct
0.532 0.532 0.532 Sb
0.981 0.981 0.981 Co
0.282 0.282 0.282 Co
0.706 0.706 0.706 As
```

Fermi-level density of states = 6.09 states/eV/f.u.
crystal system = trigonal
space group = R3m, No. 160

=====

# 2
Entry from the Alexandria database: Co2SbAs after structural relaxation (PBE-GGA).

POSCAR file:
```
Co2SbAs
1.0
3.721 0.000 0.000
1.861 3.222 0.000
0.000 0.000 5.132
Sb Co As
1 2 1
direct
0.667 0.667 0.250 Sb
0.000 0.000 0.987 Co
0.000 0.000 0.513 Co
0.333 0.333 0.750 As
```

Fermi-level density of states = 2.79 states/eV/f.u.
crystal system = hexagonal
space group = P-6m2, No. 187

=====

Number 1: uncorrected energy -0.4151 Ry/atom, formation energy without anion corrections 98.2 meV per atom. Number 2: uncorrected energy -0.4354 Ry/atom, formation energy without anion corrections -177.8 meV per atom.